Version 1
InSnTe after structural relaxation, computed with PBE-GGA.

a b c (Å): 3.8924 3.8924 11.6025
angles (deg): 90.00 90.00 90.00
Closest atoms and distances in Å follow each position.
Space group I4mm (No. 107)
Inequivalent atoms, fractional coordinates:
In: 0.0000 0.0000 0.0000  5 Te 3.42-3.77, 5 Sn 3.48-3.67
Sn: 0.0000 0.0000 0.3163  4 Te 3.20, 4 In 3.48
Te: 0.0000 0.0000 0.6751  4 Sn 3.20, 4 In 3.42

Results
total magnetic moment = 0.0 μB/f.u.

Version 2
InSnTe after structural relaxation, computed with PBE-GGA.

a b c (Å): 4.2563 4.2563 5.9379
angles (deg): 90.00 90.00 120.00
Closest atoms and distances in Å follow each position.
Space group P3m1 (No. 156)
Inequivalent atoms, fractional coordinates:
In: 0.0000 0.0000 0.0000  3 Te 3.14, 3 Sn 3.20
Sn: 0.3333 0.6667 0.3451  3 Te 3.12, 3 In 3.20
Te: 0.6667 0.3333 0.6701  3 Sn 3.12, 3 In 3.14

Results
total magnetic moment = 0.0 μB/f.u.

The energetic minimum among the shown structures is version 2; the next structure lies 23 meV per atom above.